Arrangement i

The following is a PBE-GGA calculation of crystalline Ta3MoC at its relaxed geometry, from Alexandria.

As for the space group: No. 221. The density comes out at 9.8 Mg/m³. Its crystal system is cubic.

CIF file:
```
data_Ta3MoC
_chemical_formula_sum 'Ta3 Mo1 C1'
_space_group_name_H-M_alt 'P 1'
_space_group_IT_number 1
_cell_length_a 4.802
_cell_length_b 4.802
_cell_length_c 4.802
_cell_angle_alpha 90.00
_cell_angle_beta 90.00
_cell_angle_gamma 90.00
loop_
_space_group_symop_operation_xyz
'x,y,z'
loop_
_atom_site_label
_atom_site_type_symbol
_atom_site_fract_x
_atom_site_fract_y
_atom_site_fract_z
Ta1 Ta 0.000 0.000 0.500
Ta2 Ta 0.000 0.500 0.000
Ta3 Ta 0.500 0.000 0.000
Mo1 Mo 0.000 0.000 0.000
C1 C 0.500 0.500 0.500
```


Arrangement ii

The following is a PBE-GGA calculation of crystalline Ta3MoC at its relaxed geometry, from Alexandria.

As for the space group: No. 221. The density comes out at 13.6 Mg/m³. Its crystal system is cubic.

CIF file:
```
data_Ta3MoC
_chemical_formula_sum 'Ta3 Mo1 C1'
_space_group_name_H-M_alt 'P 1'
_space_group_IT_number 1
_cell_length_a 4.297
_cell_length_b 4.297
_cell_length_c 4.297
_cell_angle_alpha 90.00
_cell_angle_beta 90.00
_cell_angle_gamma 90.00
loop_
_space_group_symop_operation_xyz
'x,y,z'
loop_
_atom_site_label
_atom_site_type_symbol
_atom_site_fract_x
_atom_site_fract_y
_atom_site_fract_z
Ta1 Ta 0.000 0.000 0.500
Ta2 Ta 0.000 0.500 0.000
Ta3 Ta 0.500 0.000 0.000
Mo1 Mo 0.500 0.500 0.500
C1 C 0.000 0.000 0.000
```


Of them, arrangement ii has the highest stability.


Arrangement i

The following is a PBE-GGA calculation of crystalline Tb2MoC2 at its relaxed geometry, from Alexandria.

As for the space group: No. 62. The density comes out at 8.4 Mg/m³. Its crystal system is orthorhombic.

CIF file:
```
data_Tb2MoC2
_chemical_formula_sum 'Tb8 Mo4 C8'
_space_group_name_H-M_alt 'P 1'
_space_group_IT_number 1
_cell_length_a 6.675
_cell_length_b 5.159
_cell_length_c 10.040
_cell_angle_alpha 90.00
_cell_angle_beta 90.00
_cell_angle_gamma 90.00
loop_
_space_group_symop_operation_xyz
'x,y,z'
loop_
_atom_site_label
_atom_site_type_symbol
_atom_site_fract_x
_atom_site_fract_y
_atom_site_fract_z
Tb1 Tb 0.042 0.250 0.220
Tb2 Tb 0.176 0.250 0.558
Tb3 Tb 0.324 0.750 0.058
Tb4 Tb 0.458 0.750 0.720
Tb5 Tb 0.542 0.250 0.280
Tb6 Tb 0.676 0.250 0.942
Tb7 Tb 0.824 0.750 0.442
Tb8 Tb 0.958 0.750 0.780
Mo1 Mo 0.212 0.250 0.870
Mo2 Mo 0.288 0.750 0.370
Mo3 Mo 0.712 0.250 0.630
Mo4 Mo 0.788 0.750 0.130
C1 C 0.058 0.750 0.242
C2 C 0.179 0.750 0.551
C3 C 0.321 0.250 0.051
C4 C 0.442 0.250 0.742
C5 C 0.558 0.750 0.258
C6 C 0.679 0.750 0.949
C7 C 0.821 0.250 0.449
C8 C 0.942 0.250 0.758
```


Arrangement ii

The following is a PBE-GGA calculation of crystalline Tb2MoC2 at its relaxed geometry, from Alexandria.

As for the space group: No. 14. The density comes out at 9.0 Mg/m³. Its crystal system is monoclinic.

CIF file:
```
data_Tb2MoC2
_chemical_formula_sum 'Tb8 Mo4 C8'
_space_group_name_H-M_alt 'P 1'
_space_group_IT_number 1
_cell_length_a 8.408
_cell_length_b 6.439
_cell_length_c 6.050
_cell_angle_alpha 90.00
_cell_angle_beta 99.45
_cell_angle_gamma 90.00
loop_
_space_group_symop_operation_xyz
'x,y,z'
loop_
_atom_site_label
_atom_site_type_symbol
_atom_site_fract_x
_atom_site_fract_y
_atom_site_fract_z
Tb1 Tb 0.045 0.241 0.024
Tb2 Tb 0.045 0.259 0.524
Tb3 Tb 0.322 0.622 0.906
Tb4 Tb 0.322 0.878 0.406
Tb5 Tb 0.678 0.122 0.594
Tb6 Tb 0.678 0.378 0.094
Tb7 Tb 0.955 0.741 0.476
Tb8 Tb 0.955 0.759 0.976
Mo1 Mo 0.379 0.114 0.865
Mo2 Mo 0.379 0.386 0.365
Mo3 Mo 0.621 0.614 0.635
Mo4 Mo 0.621 0.886 0.135
C1 C 0.153 0.548 0.242
C2 C 0.153 0.952 0.742
C3 C 0.476 0.136 0.217
C4 C 0.476 0.364 0.717
C5 C 0.524 0.636 0.283
C6 C 0.524 0.864 0.783
C7 C 0.847 0.048 0.258
C8 C 0.847 0.452 0.758
```


Of them, arrangement i has the highest stability.


Arrangement i

The following is a PBE-GGA calculation of crystalline TbMoC at its relaxed geometry, from Alexandria.

As for the space group: No. 156. The density comes out at 9.0 Mg/m³. Its crystal system is trigonal.

CIF file:
```
data_TbMoC
_chemical_formula_sum 'Tb1 Mo1 C1'
_space_group_name_H-M_alt 'P 1'
_space_group_IT_number 1
_cell_length_a 3.255
_cell_length_b 3.255
_cell_length_c 5.345
_cell_angle_alpha 90.00
_cell_angle_beta 90.00
_cell_angle_gamma 120.00
loop_
_space_group_symop_operation_xyz
'x,y,z'
loop_
_atom_site_label
_atom_site_type_symbol
_atom_site_fract_x
_atom_site_fract_y
_atom_site_fract_z
Tb1 Tb 0.000 0.000 0.000
Mo1 Mo 0.667 0.333 0.512
C1 C 0.333 0.667 0.701
```


Arrangement ii

The following is a PBE-GGA calculation of crystalline TbMoC at its relaxed geometry, from Alexandria.

As for the space group: No. 12. The density comes out at 8.5 Mg/m³. Its crystal system is monoclinic.

CIF file:
```
data_TbMoC
_chemical_formula_sum 'Tb2 Mo2 C2'
_space_group_name_H-M_alt 'P 1'
_space_group_IT_number 1
_cell_length_a 6.114
_cell_length_b 6.114
_cell_length_c 5.794
_cell_angle_alpha 113.33
_cell_angle_beta 113.33
_cell_angle_gamma 31.90
loop_
_space_group_symop_operation_xyz
'x,y,z'
loop_
_atom_site_label
_atom_site_type_symbol
_atom_site_fract_x
_atom_site_fract_y
_atom_site_fract_z
Tb1 Tb 0.114 0.114 0.313
Tb2 Tb 0.886 0.886 0.687
Mo1 Mo 0.341 0.341 0.162
Mo2 Mo 0.659 0.659 0.838
C1 C 0.246 0.246 0.767
C2 C 0.754 0.754 0.233
```


Of them, arrangement ii has the highest stability.


Arrangement i

The following is a PBE-GGA calculation of crystalline TcMoC3 at its relaxed geometry, from Alexandria.

As for the space group: No. 221. The density comes out at 6.0 Mg/m³. Its crystal system is cubic.

CIF file:
```
data_TcMoC3
_chemical_formula_sum 'Tc1 Mo1 C3'
_space_group_name_H-M_alt 'P 1'
_space_group_IT_number 1
_cell_length_a 3.985
_cell_length_b 3.985
_cell_length_c 3.985
_cell_angle_alpha 90.00
_cell_angle_beta 90.00
_cell_angle_gamma 90.00
loop_
_space_group_symop_operation_xyz
'x,y,z'
loop_
_atom_site_label
_atom_site_type_symbol
_atom_site_fract_x
_atom_site_fract_y
_atom_site_fract_z
Tc1 Tc 0.000 0.000 0.000
Mo1 Mo 0.500 0.500 0.500
C1 C 0.000 0.500 0.500
C2 C 0.500 0.000 0.500
C3 C 0.500 0.500 0.000
```


Arrangement ii

The following is a PBE-GGA calculation of crystalline TcMoC3 at its relaxed geometry, from Alexandria.

As for the space group: No. 221. The density comes out at 6.3 Mg/m³. Its crystal system is cubic.

CIF file:
```
data_TcMoC3
_chemical_formula_sum 'Tc1 Mo1 C3'
_space_group_name_H-M_alt 'P 1'
_space_group_IT_number 1
_cell_length_a 3.922
_cell_length_b 3.922
_cell_length_c 3.922
_cell_angle_alpha 90.00
_cell_angle_beta 90.00
_cell_angle_gamma 90.00
loop_
_space_group_symop_operation_xyz
'x,y,z'
loop_
_atom_site_label
_atom_site_type_symbol
_atom_site_fract_x
_atom_site_fract_y
_atom_site_fract_z
Tc1 Tc 0.000 0.000 0.000
Mo1 Mo 0.500 0.500 0.500
C1 C 0.000 0.000 0.500
C2 C 0.000 0.500 0.000
C3 C 0.500 0.000 0.000
```


Of them, arrangement ii has the highest stability.